PBE-GGA Ba2PbAu, relaxed; ΔE_f = -0.59 eV/atom
1.0
6.044 0.000 0.000
0.000 4.065 0.000
-0.023 0.000 11.900
Ba Pb Au
4 2 2
Direct
0.249 0.000 0.137
0.250 0.000 0.614
0.750 0.000 0.386
0.751 0.000 0.863
0.251 0.500 0.869
0.749 0.500 0.131
0.250 0.500 0.374
0.750 0.500 0.626



PBE-GGA BaPb3Au3, relaxed; ΔE_f = -0.21 eV/atom; E above lowest polymorph = 11.0 kJ per mole of atoms
1.0
4.543 2.623 6.106
-4.543 2.623 6.106
0.000 -5.246 6.106
Ba Pb Au
2 6 6
Direct
0.165 0.165 0.165
0.835 0.835 0.835
0.114 0.703 0.407
0.297 0.593 0.886
0.407 0.114 0.703
0.593 0.886 0.297
0.703 0.407 0.114
0.886 0.297 0.593
0.060 0.419 0.768
0.232 0.940 0.581
0.419 0.768 0.060
0.581 0.232 0.940
0.768 0.060 0.419
0.940 0.581 0.232



PBE-GGA BaPb2Au, relaxed; ΔE_f = -0.35 eV/atom
1.0
12.976 0.000 0.000
0.000 3.922 0.000
-2.313 0.000 4.980
Ba Pb Au
2 4 2
Direct
0.000 0.000 0.000
0.500 0.500 0.000
0.209 0.000 0.709
0.291 0.500 0.291
0.709 0.500 0.709
0.791 0.000 0.291
0.000 0.500 0.500
0.500 0.000 0.500



PBE-GGA Ba2PbAu, relaxed; ΔE_f = -0.46 eV/atom
1.0
4.990 0.000 0.000
0.000 4.990 0.000
0.000 0.000 7.027
Ba Pb Au
2 1 1
Direct
0.000 0.000 0.000
0.500 0.500 0.499
0.500 0.500 0.999
0.000 0.000 0.500



PBE-GGA Ba3Pb7Au2, relaxed; ΔE_f = -0.41 eV/atom
1.0
5.065 0.000 0.000
0.000 5.112 0.000
-2.520 0.000 15.493
Ba Pb Au
3 7 2
Direct
0.000 0.000 0.000
0.321 0.500 0.641
0.679 0.500 0.359
0.084 0.500 0.167
0.223 0.000 0.446
0.418 0.000 0.833
0.500 0.500 0.000
0.582 0.000 0.167
0.777 0.000 0.554
0.916 0.500 0.833
0.130 0.000 0.265
0.870 0.000 0.735



PBE-GGA BaPb2Au, relaxed; ΔE_f = -0.38 eV/atom
1.0
5.064 0.000 0.000
0.000 4.152 0.000
-2.513 0.000 6.284
Ba Pb Au
1 2 1
Direct
0.000 0.000 0.000
0.297 0.500 0.601
0.717 0.000 0.436
0.543 0.500 0.086



PBE-GGA Ba2Pb2Au, relaxed; ΔE_f = -0.23 eV/atom; E above lowest polymorph = 32.9 kJ per mole of atoms
1.0
6.901 0.000 0.000
0.000 6.901 0.000
0.000 0.000 8.792
Ba Pb Au
4 4 2
Direct
0.000 0.500 0.250
0.000 0.500 0.750
0.500 0.000 0.250
0.500 0.000 0.750
0.000 0.000 0.171
0.000 0.000 0.829
0.500 0.500 0.329
0.500 0.500 0.671
0.000 0.000 0.500
0.500 0.500 0.000



PBE-GGA BaPbAu17, relaxed; ΔE_f = -0.13 eV/atom
1.0
4.916 2.839 4.701
-4.916 2.839 4.701
0.000 -5.677 4.701
Ba Pb Au
1 1 17
Direct
0.000 0.000 0.000
0.312 0.312 0.312
0.013 0.013 0.499
0.013 0.499 0.013
0.154 0.670 0.670
0.318 0.318 0.813
0.318 0.813 0.318
0.359 0.660 0.970
0.359 0.970 0.660
0.499 0.013 0.013
0.536 0.536 0.536
0.660 0.359 0.970
0.660 0.970 0.359
0.670 0.154 0.670
0.670 0.670 0.154
0.742 0.742 0.742
0.813 0.318 0.318
0.970 0.359 0.660
0.970 0.660 0.359



PBE-GGA Ba3Pb5Au12, relaxed; ΔE_f = -0.06 eV/atom
1.0
-8.771 8.771 8.771
8.771 -8.771 8.771
8.771 8.771 -8.771
Ba Pb Au
12 20 48
Direct
0.125 0.250 0.375
0.125 0.375 0.750
0.250 0.375 0.125
0.250 0.875 0.625
0.375 0.125 0.250
0.375 0.750 0.125
0.625 0.250 0.875
0.625 0.875 0.750
0.750 0.125 0.375
0.750 0.625 0.875
0.875 0.625 0.250
0.875 0.750 0.625
0.000 0.000 0.000
0.000 0.000 0.500
0.000 0.500 0.000
0.000 0.500 0.500
0.125 0.750 0.875
0.125 0.875 0.250
0.250 0.125 0.875
0.250 0.625 0.375
0.375 0.250 0.625
0.375 0.625 0.750
0.500 0.000 0.000
0.500 0.000 0.500
0.500 0.500 0.000
0.500 0.500 0.500
0.625 0.375 0.250
0.625 0.750 0.375
0.750 0.375 0.625
0.750 0.875 0.125
0.875 0.125 0.750
0.875 0.250 0.125
0.053 0.218 0.136
0.053 0.335 0.917
0.081 0.718 0.665
0.081 0.864 0.417
0.083 0.636 0.419
0.083 0.947 0.665
0.136 0.053 0.218
0.136 0.583 0.919
0.165 0.218 0.581
0.165 0.447 0.583
0.218 0.136 0.053
0.218 0.581 0.165
0.282 0.335 0.919
0.282 0.447 0.364
0.335 0.917 0.053
0.335 0.919 0.282
0.364 0.282 0.447
0.364 0.581 0.917
0.417 0.081 0.864
0.417 0.835 0.553
0.419 0.083 0.636
0.419 0.835 0.782
0.447 0.364 0.282
0.447 0.583 0.165
0.553 0.417 0.835
0.553 0.636 0.718
0.581 0.165 0.218
0.581 0.917 0.364
0.583 0.165 0.447
0.583 0.919 0.136
0.636 0.419 0.083
0.636 0.718 0.553
0.665 0.081 0.718
0.665 0.083 0.947
0.718 0.553 0.636
0.718 0.665 0.081
0.782 0.419 0.835
0.782 0.864 0.947
0.835 0.553 0.417
0.835 0.782 0.419
0.864 0.417 0.081
0.864 0.947 0.782
0.917 0.053 0.335
0.917 0.364 0.581
0.919 0.136 0.583
0.919 0.282 0.335
0.947 0.665 0.083
0.947 0.782 0.864



PBE-GGA Ba5PbAu2, relaxed; ΔE_f = -0.56 eV/atom
1.0
-4.527 4.527 8.011
4.527 -4.527 8.011
4.527 4.527 -8.011
Ba Pb Au
10 2 4
Direct
0.000 0.000 0.000
0.029 0.529 0.836
0.192 0.029 0.500
0.308 0.808 0.836
0.471 0.308 0.500
0.500 0.500 0.000
0.529 0.692 0.500
0.692 0.192 0.164
0.808 0.971 0.500
0.971 0.471 0.164
0.250 0.250 0.000
0.750 0.750 0.000
0.125 0.375 0.500
0.375 0.875 0.249
0.625 0.125 0.751
0.875 0.625 0.500



PBE-GGA BaPb5Au2, relaxed; ΔE_f = -0.24 eV/atom
1.0
4.706 0.000 0.000
0.000 9.164 0.000
0.000 0.000 11.468
Ba Pb Au
2 10 4
Direct
0.000 0.000 0.000
0.500 0.500 0.500
0.000 0.191 0.346
0.000 0.191 0.654
0.000 0.500 0.000
0.000 0.809 0.346
0.000 0.809 0.654
0.500 0.000 0.500
0.500 0.309 0.154
0.500 0.309 0.846
0.500 0.691 0.154
0.500 0.691 0.846
0.000 0.500 0.275
0.000 0.500 0.725
0.500 0.000 0.225
0.500 0.000 0.775



PBE-GGA Ba6PbAu2, relaxed; ΔE_f = -0.49 eV/atom
1.0
-5.447 5.927 6.030
5.447 -5.927 6.030
5.447 5.927 -6.030
Ba Pb Au
12 2 4
Direct
0.052 0.243 0.810
0.174 0.279 0.453
0.174 0.721 0.895
0.337 0.030 0.693
0.337 0.644 0.307
0.433 0.243 0.190
0.567 0.757 0.810
0.663 0.356 0.693
0.663 0.970 0.307
0.826 0.279 0.105
0.826 0.721 0.547
0.948 0.757 0.190
0.000 0.000 0.000
0.500 0.500 0.000
0.122 0.622 0.500
0.332 0.000 0.332
0.668 0.000 0.668
0.878 0.378 0.500